1.
An optimized crystal structure of LaDy3H, computed with PBE.

Geometry as extended XYZ:
```
5
Lattice="5.047 0.000 0.000 0.000 5.047 0.000 0.000 0.000 5.047" Properties=species:S:1:pos:R:3 pbc="T T T"
La 0.000 0.000 0.000
Dy 0.000 2.524 2.524
Dy 2.524 0.000 2.524
Dy 2.524 2.524 0.000
H 2.524 2.524 2.524
```

2.
An optimized crystal structure of SnSe2BrO, computed with PBE.

Geometry as extended XYZ:
```
5
Lattice="5.337 0.000 0.000 0.000 5.337 0.000 0.000 0.000 5.498" Properties=species:S:1:pos:R:3 pbc="T T T"
Sn 0.000 0.000 0.000
Se 0.000 2.669 0.000
Se 2.669 0.000 0.000
Br 0.000 0.000 2.749
O 2.669 2.669 2.749
```

Values from the calculation:
- ΔE_f (raw): 735 meV per atom

3.
An optimized crystal structure of BeNbCo, computed with PBE.

Geometry as extended XYZ:
```
6
Lattice="-2.328 2.407 3.228 2.328 -2.407 3.228 2.328 2.407 -3.228" Properties=species:S:1:pos:R:3 pbc="T T T"
Be -1.164 1.204 1.614
Be 1.164 1.204 1.614
Nb 2.328 1.204 -0.806
Nb 0.000 1.204 4.034
Co 0.000 0.000 0.000
Co 0.000 2.407 0.000
```

Values from the calculation:
- ΔE_f: -0.232 eV per atom

For reference, VASP energy by record: -4.579, -2.785, -7.200 eV/atom.